# 1
The following is a GGA-PBE calculation of a relaxed structure of HoBiAsO, from the Open Quantum Materials Database.

## Properties
* M_tot: 0.024 μB/f.u.
* crystal system: tetragonal
* E_tot: -47.23 eV/cell
* energy above the most stable polymorph in this dataset: 0.0 meV per atom
* SG: P4/nmm

Lattice parameters (Å, degrees): 4.219 4.219 9.985 90.00 90.00 90.00
Element x y z (fractional)
Ho (0.250, 0.250, 0.089)
Ho (0.750, 0.750, 0.911)
Bi (0.250, 0.750, 0.500)
Bi (0.750, 0.250, 0.500)
As (0.250, 0.250, 0.739)
As (0.750, 0.750, 0.261)
O (0.250, 0.750, 0.000)
O (0.750, 0.250, 0.000)

# 2
The following is a GGA-PBE calculation of a relaxed structure of LiScInAu, from the Open Quantum Materials Database.

## Properties
* M_tot: 0.001 μB/f.u.
* crystal system: tetragonal
* E_tot: -33.34 eV/cell
* SG: P-4m2

Lattice parameters (Å, degrees): 4.697 4.697 6.630 90.00 90.00 90.00
Element x y z (fractional)
Li (0.000, 0.500, 0.246)
Li (0.500, 0.000, 0.754)
Sc (0.000, 0.000, 0.500)
Sc (0.500, 0.500, 0.000)
In (0.000, 0.000, 0.000)
In (0.500, 0.500, 0.500)
Au (0.000, 0.500, 0.749)
Au (0.500, 0.000, 0.251)